No. 1
CoHg2Ru | PBE | optimized geometry

Cell lengths 4.5781, 4.5781, 4.5781 Å; angles 60.00, 60.00, 60.00 degrees
Fractional positions:
Co (0.0000, 0.0000, 0.0000)
Hg (0.5000, 0.5000, 0.5000)
Hg (0.7500, 0.7500, 0.7500)
Ru (0.2500, 0.2500, 0.2500)

E_form = 0.677 eV/atom
spin magnetization = 2.77 μB per formula unit
relative energy among the computed polymorphs = 0.304 eV per atom

No. 2
CoHgRu2 | PBE | optimized geometry

Cell lengths 9.1002, 9.1002, 9.1002 Å; angles 17.55, 17.55, 17.55 degrees
Fractional positions:
Co (0.0000, 0.0000, 0.0000)
Hg (0.5000, 0.5000, 0.5000)
Ru (0.2598, 0.2598, 0.2598)
Ru (0.7402, 0.7402, 0.7402)

E_form = 0.464 eV/atom
spin magnetization = 1.89 μB per formula unit

No. 3
CoHg2Ru | PBE | optimized geometry

Cell lengths 9.1361, 9.1361, 9.1361 Å; angles 18.56, 18.56, 18.56 degrees
Fractional positions:
Co (0.0000, 0.0000, 0.0000)
Hg (0.2530, 0.2530, 0.2530)
Hg (0.7470, 0.7470, 0.7470)
Ru (0.5000, 0.5000, 0.5000)

E_form = 0.612 eV/atom
spin magnetization = 2.16 μB per formula unit
relative energy among the computed polymorphs = 0.239 eV per atom